## Ca2MnF6 (PBE+U)

Data for a relaxed structure of Ca2MnF6.

Structure (CIF):
```
data_Ca2MnF6
_chemical_formula_sum 'Ca4 Mn2 F12'
_cell_length_a 5.1435
_cell_length_b 5.1435
_cell_length_c 10.5196
_cell_angle_alpha 90.00
_cell_angle_beta 90.00
_cell_angle_gamma 90.00
_symmetry_space_group_name_H-M 'P 42/m n m'
_symmetry_Int_Tables_number 136
_symmetry_space_group_name_Hall '-P 4n 2n'
loop_
_atom_site_label
_atom_site_type_symbol
_atom_site_fract_x
_atom_site_fract_y
_atom_site_fract_z
Ca1 Ca 0.0000 0.0000 0.1662
Mn1 Mn 0.0000 0.0000 0.5000
F1 F 0.1892 0.1892 0.3401
F2 F 0.2042 0.2042 0.0000
```

The total energy is -6.020 eV/atom. For the theoretical density, the calculation gives 3.0 Mg/m³. For the volume, the calculation gives 278 Å³/cell.